<one>
Compound: Cs2Re2S5
Source: Alexandria
Functional: PBE
Structure: relaxed

a b c (Å): 12.6060 12.6060 12.6060
angles (deg): 67.41 67.41 67.41
Each line ends with the local moment (μB).
Fractional positions:
Cs 0.4698 0.8547 0.7157  0.00
Cs 0.1453 0.2843 0.5302  0.00
Cs 0.8547 0.7157 0.4698  0.00
Cs 0.3547 0.9698 0.2157  0.00
Cs 0.0302 0.7843 0.6453  0.00
Cs 0.9698 0.2157 0.3547  0.00
Cs 0.2157 0.3547 0.9698  0.00
Cs 0.2843 0.5302 0.1453  0.00
Cs 0.6453 0.0302 0.7843  0.00
Cs 0.7843 0.6453 0.0302  0.00
Cs 0.5302 0.1453 0.2843  0.00
Cs 0.7157 0.4698 0.8547  0.00
Re 0.9511 0.0775 0.8600  0.00
Re 0.3600 0.5775 0.4511  0.00
Re 0.9225 0.1400 0.0489  0.00
Re 0.4511 0.3600 0.5775  0.00
Re 0.0775 0.8600 0.9511  0.00
Re 0.8600 0.9511 0.0775  0.00
Re 0.6400 0.4225 0.5489  0.00
Re 0.4225 0.5489 0.6400  0.00
Re 0.5775 0.4511 0.3600  0.00
Re 0.5489 0.6400 0.4225  0.00
Re 0.0489 0.9225 0.1400  0.00
Re 0.1400 0.0489 0.9225  0.00
S 0.6019 0.6019 0.6019  0.00
S 0.2561 0.4871 0.6550  0.00
S 0.1733 0.6562 0.3887  0.00
S 0.7439 0.5129 0.3450  0.00
S 0.6562 0.3887 0.1733  0.00
S 0.9871 0.7561 0.1550  0.00
S 0.2439 0.8450 0.0129  0.00
S 0.4871 0.6550 0.2561  0.00
S 0.3887 0.1733 0.6562  0.00
S 0.1562 0.6733 0.8887  0.00
S 0.6733 0.8887 0.1562  0.00
S 0.5129 0.3450 0.7439  0.00
S 0.8887 0.1562 0.6733  0.00
S 0.8267 0.3438 0.6113  0.00
S 0.1550 0.9871 0.7561  0.00
S 0.0129 0.2439 0.8450  0.00
S 0.3450 0.7439 0.5129  0.00
S 0.3267 0.1113 0.8438  0.00
S 0.1113 0.8438 0.3267  0.00
S 0.8981 0.8981 0.8981  0.00
S 0.6550 0.2561 0.4871  0.00
S 0.1019 0.1019 0.1019  0.00
S 0.3438 0.6113 0.8267  0.00
S 0.8450 0.0129 0.2439  0.00
S 0.6113 0.8267 0.3438  0.00
S 0.8438 0.3267 0.1113  0.00
S 0.3981 0.3981 0.3981  0.00
S 0.2500 0.2500 0.2500  0.10
S 0.7500 0.7500 0.7500  0.10
S 0.7561 0.1550 0.9871  0.00

Results
* mass density: 4.85 g cm⁻³
* symmetry: R-3c
* total magnetization: 0.4 μB per cell


<two>
Compound: Cs2Re2S5
Source: Alexandria
Functional: PBE
Structure: relaxed

a b c (Å): 4.5991 6.8034 8.8507
angles (deg): 98.62 90.00 109.75
Fractional positions:
Cs 0.4031 0.8062 0.6873
Cs 0.5969 0.1938 0.3127
Re 0.1452 0.2904 0.8926
Re 0.8548 0.7096 0.1074
S 0.3032 0.6064 0.0719
S 0.6968 0.3936 0.9281
S 0.1209 0.2418 0.6370
S 0.8791 0.7582 0.3630
S 0.0000 0.0000 0.0000

Results
* mass density: 5.15 g cm⁻³
* symmetry: C2/m
* total magnetization: 0.0 μB per cell


Bottom line: <one>, by a margin of 300 meV per atom.


<one>
Compound: Cs2ReS
Source: Alexandria
Functional: PBE
Structure: relaxed

a b c (Å): 5.8900 5.8900 5.8900
angles (deg): 60.00 60.00 60.00
Each line ends with the local moment (μB).
Fractional positions:
Cs 0.2500 0.2500 0.2500  0.03
Cs 0.7500 0.7500 0.7500  0.03
Re 0.5000 0.5000 0.5000  3.85
S 0.0000 0.0000 0.0000  0.21

Results
* mass density: 5.56 g cm⁻³
* symmetry: Fm-3m
* total magnetization: 5.0 μB per cell


<two>
Compound: Cs2ReS
Source: Alexandria
Functional: PBE
Structure: relaxed

a b c (Å): 9.6163 9.6163 9.6163
angles (deg): 93.05 93.05 153.31
Each line ends with the local moment (μB).
Fractional positions:
Cs 0.6847 0.3750 0.8097  0.01
Cs 0.5653 0.8750 0.1903  0.01
Cs 0.1250 0.3153 0.6903  0.01
Cs 0.6250 0.4347 0.3097  0.01
Re 0.0000 0.0000 0.0000  1.00
Re 0.2500 0.7500 0.5000  1.00
S 0.5000 0.5000 0.0000  -0.02
S 0.7500 0.2500 0.5000  -0.02

Results
* mass density: 4.14 g cm⁻³
* symmetry: I-42d
* total magnetization: 2.6 μB per cell


Bottom line: <two>, by a margin of 815 meV per atom.


<one>
Compound: CsReSb3
Source: Alexandria
Functional: PBE
Structure: relaxed

a b c (Å): 5.3801 5.3801 5.3801
angles (deg): 90.00 90.00 90.00
Fractional positions:
Cs 0.5000 0.5000 0.5000
Re 0.0000 0.0000 0.0000
Sb 0.0000 0.5000 0.0000
Sb 0.0000 0.0000 0.5000
Sb 0.5000 0.0000 0.0000

Results
* mass density: 7.30 g cm⁻³
* symmetry: Pm-3m
* total magnetization: 0.0 μB per cell


<two>
Compound: CsReSb3
Source: Alexandria
Functional: PBE
Structure: relaxed

a b c (Å): 5.8205 5.8205 5.8205
angles (deg): 90.00 90.00 90.00
Fractional positions:
Cs 0.0000 0.0000 0.0000
Re 0.5000 0.5000 0.5000
Sb 0.0000 0.5000 0.0000
Sb 0.0000 0.0000 0.5000
Sb 0.5000 0.0000 0.0000

Results
* mass density: 5.76 g cm⁻³
* symmetry: Pm-3m
* total magnetization: 0.0 μB per cell


Bottom line: <one>, by a margin of 2589 meV per atom.


<one>
Compound: CsReSbTe2
Source: Alexandria
Functional: PBE
Structure: relaxed

a b c (Å): 5.9810 5.9810 6.0285
angles (deg): 90.00 90.00 90.00
Fractional positions:
Cs 0.0000 0.0000 0.0000
Re 0.5000 0.5000 0.5000
Te 0.0000 0.5000 0.0000
Te 0.5000 0.0000 0.0000
Sb 0.0000 0.0000 0.5000

Results
* mass density: 5.36 g cm⁻³
* symmetry: P4/mmm
* total magnetization: 0.0 μB per cell


<two>
Compound: CsReSbTe2
Source: Alexandria
Functional: PBE
Structure: relaxed

a b c (Å): 5.6011 5.6011 5.2233
angles (deg): 90.00 90.00 90.00
Each line ends with the local moment (μB).
Fractional positions:
Cs 0.5000 0.5000 0.5000  0.01
Re 0.0000 0.0000 0.0000  1.26
Te 0.0000 0.5000 0.0000  0.10
Te 0.5000 0.0000 0.0000  0.10
Sb 0.0000 0.0000 0.5000  -0.03

Results
* mass density: 7.05 g cm⁻³
* symmetry: P4/mmm
* total magnetization: 1.8 μB per cell


Bottom line: <two>, by a margin of 2601 meV per atom.


<one>
Compound: CsSc2Re
Source: Alexandria
Functional: PBE
Structure: relaxed

a b c (Å): 5.0518 5.0518 5.0518
angles (deg): 60.00 60.00 60.00
Fractional positions:
Cs 0.0000 0.0000 0.0000
Re 0.5000 0.5000 0.5000
Sc 0.2500 0.2500 0.2500
Sc 0.7500 0.7500 0.7500

Results
* mass density: 7.45 g cm⁻³
* symmetry: Fm-3m
* total magnetization: 0.0 μB per cell


<two>
Compound: CsSc2Re
Source: Alexandria
Functional: PBE
Structure: relaxed

a b c (Å): 11.1232 11.1232 11.1232
angles (deg): 17.37 17.37 17.37
Fractional positions:
Cs 0.0000 0.0000 0.0000
Re 0.5000 0.5000 0.5000
Sc 0.8914 0.8914 0.8914
Sc 0.1086 0.1086 0.1086

Results
* mass density: 6.35 g cm⁻³
* symmetry: R-3m
* total magnetization: 0.0 μB per cell


<three>
Compound: CsSc2Re
Source: Alexandria
Functional: PBE
Structure: relaxed

a b c (Å): 7.8678 7.8678 7.8810
angles (deg): 60.06 60.06 90.00
Fractional positions:
Cs 0.5000 0.5000 0.0000
Cs 0.2500 0.7500 0.5000
Re 0.0000 0.0000 0.0000
Re 0.7500 0.2500 0.5000
Sc 0.8750 0.1250 0.2500
Sc 0.8750 0.6250 0.2500
Sc 0.3750 0.1250 0.7500
Sc 0.8750 0.1250 0.7500

Results
* mass density: 3.93 g cm⁻³
* symmetry: I4_1/amd
* total magnetization: 0.0 μB per cell


Bottom line: <two>, by a margin of 366 meV per atom.


<one>
Compound: CsSc3Re
Source: Alexandria
Functional: PBE
Structure: relaxed

a b c (Å): 5.0945 5.0945 5.0945
angles (deg): 90.00 90.00 90.00
Each line ends with the local moment (μB).
Fractional positions:
Cs 0.0000 0.0000 0.0000  -0.03
Re 0.5000 0.5000 0.5000  2.44
Sc 0.0000 0.5000 0.0000  -0.06
Sc 0.0000 0.0000 0.5000  -0.12
Sc 0.5000 0.0000 0.0000  -0.12

Results
* mass density: 5.70 g cm⁻³
* symmetry: Pm-3m
* total magnetization: 2.5 μB per cell


<two>
Compound: CsSc3Re
Source: Alexandria
Functional: PBE
Structure: relaxed

a b c (Å): 5.3017 5.3017 5.3017
angles (deg): 90.00 90.00 90.00
Fractional positions:
Cs 0.5000 0.5000 0.5000
Re 0.0000 0.0000 0.0000
Sc 0.0000 0.5000 0.0000
Sc 0.0000 0.0000 0.5000
Sc 0.5000 0.0000 0.0000

Results
* mass density: 5.06 g cm⁻³
* symmetry: Pm-3m
* total magnetization: 0.0 μB per cell


Bottom line: <two>, by a margin of 1657 meV per atom.


<one>
Compound: CsScRe3
Source: Alexandria
Functional: PBE
Structure: relaxed

a b c (Å): 4.9819 4.9819 4.9819
angles (deg): 90.00 90.00 90.00
Each line ends with the local moment (μB).
Fractional positions:
Cs 0.5000 0.5000 0.5000  0.10
Re 0.0000 0.5000 0.0000  1.46
Re 0.0000 0.0000 0.5000  1.28
Re 0.5000 0.0000 0.0000  1.60
Sc 0.0000 0.0000 0.0000  -0.06

Results
* mass density: 9.89 g cm⁻³
* symmetry: Pm-3m
* total magnetization: 5.1 μB per cell


<two>
Compound: CsScRe3
Source: Alexandria
Functional: PBE
Structure: relaxed

a b c (Å): 4.8811 4.8811 4.8811
angles (deg): 90.00 90.00 90.00
Fractional positions:
Cs 0.0000 0.0000 0.0000
Re 0.0000 0.5000 0.0000
Re 0.0000 0.0000 0.5000
Re 0.5000 0.0000 0.0000
Sc 0.5000 0.5000 0.5000

Results
* mass density: 10.52 g cm⁻³
* symmetry: Pm-3m
* total magnetization: 0.0 μB per cell


Bottom line: <one>, by a margin of 755 meV per atom.


<one>
Compound: CsReSe2
Source: Alexandria
Functional: PBE
Structure: relaxed

a b c (Å): 7.7145 7.7145 6.9867
angles (deg): 56.49 56.49 90.00
Fractional positions:
Cs 0.5000 0.5000 0.0000
Cs 0.2500 0.7500 0.5000
Re 0.0000 0.0000 0.0000
Re 0.7500 0.2500 0.5000
Se 0.7560 0.1250 0.2500
Se 0.9940 0.6250 0.2500
Se 0.3750 0.2440 0.7500
Se 0.8750 0.0060 0.7500

Results
* mass density: 6.10 g cm⁻³
* symmetry: I-42d
* total magnetization: 0.0 μB per cell


<two>
Compound: CsReSe2
Source: Alexandria
Functional: PBE
Structure: relaxed

a b c (Å): 9.7801 9.7801 9.7801
angles (deg): 22.70 22.70 22.70
Each line ends with the local moment (μB).
Fractional positions:
Cs 0.0000 0.0000 0.0000  0.03
Re 0.5000 0.5000 0.5000  1.79
Se 0.8808 0.8808 0.8808  0.04
Se 0.1192 0.1192 0.1192  0.04

Results
* mass density: 6.48 g cm⁻³
* symmetry: R-3m
* total magnetization: 2.3 μB per cell


Bottom line: <one>, by a margin of 274 meV per atom.


<one>
Compound: CsTa3Re
Source: Alexandria
Functional: PBE
Structure: relaxed

a b c (Å): 4.9119 4.9119 4.9119
angles (deg): 90.00 90.00 90.00
Each line ends with the local moment (μB).
Fractional positions:
Cs 0.0000 0.0000 0.0000  -0.01
Re 0.5000 0.5000 0.5000  0.78
Ta 0.0000 0.5000 0.0000  -0.02
Ta 0.0000 0.0000 0.5000  -0.04
Ta 0.5000 0.0000 0.0000  -0.04

Results
* mass density: 12.08 g cm⁻³
* symmetry: Pm-3m
* total magnetization: 0.8 μB per cell


<two>
Compound: CsTa3Re
Source: Alexandria
Functional: PBE
Structure: relaxed

a b c (Å): 5.0524 5.0524 5.0524
angles (deg): 90.00 90.00 90.00
Fractional positions:
Cs 0.5000 0.5000 0.5000
Re 0.0000 0.0000 0.0000
Ta 0.0000 0.5000 0.0000
Ta 0.0000 0.0000 0.5000
Ta 0.5000 0.0000 0.0000

Results
* mass density: 11.10 g cm⁻³
* symmetry: Pm-3m
* total magnetization: 0.0 μB per cell


Bottom line: <two>, by a margin of 2078 meV per atom.


<one>
Compound: Cs2ReTc
Source: Alexandria
Functional: PBE
Structure: relaxed

a b c (Å): 5.4571 5.4571 5.4571
angles (deg): 60.00 60.00 60.00
Each line ends with the local moment (μB).
Fractional positions:
Cs 0.2500 0.2500 0.2500  0.03
Cs 0.7500 0.7500 0.7500  0.03
Re 0.5000 0.5000 0.5000  2.69
Tc 0.0000 0.0000 0.0000  -0.11

Results
* mass density: 7.95 g cm⁻³
* symmetry: Fm-3m
* total magnetization: 2.9 μB per cell


<two>
Compound: Cs2ReTc
Source: Alexandria
Functional: PBE
Structure: relaxed

a b c (Å): 9.9054 9.9054 9.9054
angles (deg): 92.99 92.99 153.58
Fractional positions:
Cs 0.6912 0.3750 0.8162
Cs 0.5588 0.8750 0.1838
Cs 0.1250 0.3088 0.6838
Cs 0.6250 0.4412 0.3162
Re 0.0000 0.0000 0.0000
Re 0.2500 0.7500 0.5000
Tc 0.5000 0.5000 0.0000
Tc 0.7500 0.2500 0.5000

Results
* mass density: 4.34 g cm⁻³
* symmetry: I-42d
* total magnetization: 0.0 μB per cell


Bottom line: <two>, by a margin of 1312 meV per atom.


<one>
Compound: CsReTc2
Source: Alexandria
Functional: PBE
Structure: relaxed

a b c (Å): 4.6657 4.6657 4.6657
angles (deg): 60.00 60.00 60.00
Fractional positions:
Cs 0.0000 0.0000 0.0000
Re 0.5000 0.5000 0.5000
Tc 0.2500 0.2500 0.2500
Tc 0.7500 0.7500 0.7500

Results
* mass density: 11.91 g cm⁻³
* symmetry: Fm-3m
* total magnetization: 0.0 μB per cell


<two>
Compound: CsReTc2
Source: Alexandria
Functional: PBE
Structure: relaxed

a b c (Å): 7.3983 7.3983 6.2310
angles (deg): 53.58 53.58 90.00
Fractional positions:
Cs 0.5000 0.5000 0.0000
Cs 0.2500 0.7500 0.5000
Re 0.0000 0.0000 0.0000
Re 0.7500 0.2500 0.5000
Tc 0.6975 0.1250 0.2500
Tc 0.0525 0.6250 0.2500
Tc 0.3750 0.3025 0.7500
Tc 0.8750 0.9475 0.7500

Results
* mass density: 9.23 g cm⁻³
* symmetry: I-42d
* total magnetization: 0.0 μB per cell


Bottom line: <two>, by a margin of 92 meV per atom.


<one>
Compound: CsReTc3
Source: Alexandria
Functional: PBE
Structure: relaxed

a b c (Å): 4.7534 4.7534 4.7534
angles (deg): 90.00 90.00 90.00
Fractional positions:
Cs 0.0000 0.0000 0.0000
Re 0.5000 0.5000 0.5000
Tc 0.0000 0.5000 0.0000
Tc 0.0000 0.0000 0.5000
Tc 0.5000 0.0000 0.0000

Results
* mass density: 9.48 g cm⁻³
* symmetry: Pm-3m
* total magnetization: 0.0 μB per cell


<two>
Compound: CsReTc3
Source: Alexandria
Functional: PBE
Structure: relaxed

a b c (Å): 4.8733 4.8733 4.8733
angles (deg): 90.00 90.00 90.00
Each line ends with the local moment (μB).
Fractional positions:
Cs 0.5000 0.5000 0.5000  0.07
Re 0.0000 0.0000 0.0000  -0.33
Tc 0.0000 0.5000 0.0000  1.49
Tc 0.0000 0.0000 0.5000  1.40
Tc 0.5000 0.0000 0.0000  1.20

Results
* mass density: 8.80 g cm⁻³
* symmetry: Pm-3m
* total magnetization: 4.3 μB per cell


Bottom line: <two>, by a margin of 1934 meV per atom.